[1]
This record from the Alexandria database describes crystalline SrCdCu2H8 at its relaxed geometry. The functional is PBE.

DOS(E_F): 5.298 states/eV/cell
calculated volume: 130.7 Å³/cell
electronic total energy: -35.9 eV/cell
space group: P-3, No. 147

abc: 4.677 4.677 6.899
angles: 90.00 90.00 120.00
Sites, in units of the cell vectors:
H1 0.679 0.997 0.309
H2 0.321 0.003 0.691
H3 0.333 0.667 0.956
Sr1 0.000 0.000 0.000
Cu1 0.333 0.667 0.725
H4 0.003 0.682 0.309
H5 0.667 0.333 0.044
Cd1 0.000 0.000 0.500
Cu2 0.667 0.333 0.275
H6 0.997 0.318 0.691
H7 0.682 0.679 0.691
H8 0.318 0.321 0.309

=====

[2]
This record from the Alexandria database describes crystalline Sr2CdCuH6 at its relaxed geometry. The functional is PBE.

DOS(E_F): 1.406 states/eV/cell
calculated volume: 124.2 Å³/cell
electronic total energy: -30.4 eV/cell
space group: C2/m, No. 12

abc: 5.595 5.595 5.560
angles: 60.32 60.32 90.03
Sites, in units of the cell vectors:
Sr1 0.252 0.748 0.500
H1 0.721 0.720 0.007
Sr2 0.748 0.252 0.500
H2 0.278 0.278 0.448
H3 0.276 0.724 0.000
H4 0.724 0.276 0.000
H5 0.279 0.280 0.993
Cu1 0.500 0.500 0.000
Cd1 0.000 0.000 0.000
H6 0.722 0.722 0.552

=====

[3]
This record from the Alexandria database describes crystalline Ti2CdCuH at its relaxed geometry. The functional is PBE.

DOS(E_F): 5.293 states/eV/cell
calculated volume: 67.5 Å³/cell
electronic total energy: -24.6 eV/cell
space group: P4/mmm, No. 123
energy relative to the lowest polymorph listed for this composition: 0.0 kJ/mol of atoms

abc: 4.054 4.054 4.110
angles: 90.00 90.00 90.00
Sites, in units of the cell vectors:
H1 0.000 0.000 0.000
Cd1 0.500 0.500 0.500
Ti1 0.000 0.500 0.000
Cu1 0.000 0.000 0.500
Ti2 0.500 0.000 0.000

=====

[4]
This record from the Alexandria database describes crystalline Ti2CdCuH at its relaxed geometry. The functional is PBE.

DOS(E_F): 4.617 states/eV/cell
calculated volume: 68.3 Å³/cell
electronic total energy: -24.2 eV/cell
space group: P4/mmm, No. 123
energy relative to the lowest polymorph listed for this composition: 7.5 kJ/mol of atoms

abc: 3.944 3.944 4.391
angles: 90.00 90.00 90.00
Sites, in units of the cell vectors:
H1 0.000 0.000 0.000
Cu1 0.500 0.500 0.500
Ti1 0.500 0.000 0.000
Cd1 0.000 0.000 0.500
Ti2 0.000 0.500 0.000

=====

[5]
This record from the Alexandria database describes crystalline VCdCuH2 at its relaxed geometry. The functional is PBE.

DOS(E_F): 5.372 states/eV/cell
calculated volume: 74.4 Å³/cell
electronic total energy: -16.4 eV/cell
space group: P4/mmm, No. 123

abc: 3.658 5.559 3.658
angles: 90.00 90.00 90.00
Sites, in units of the cell vectors:
Cd1 0.000 0.000 0.000
H1 0.500 0.000 0.000
V1 0.500 0.500 0.500
H2 0.000 0.000 0.500
Cu1 0.000 0.500 0.000

=====

[6]
This record from the Alexandria database describes crystalline ZnCdCu2H at its relaxed geometry. The functional is PBE.

DOS(E_F): 1.619 states/eV/cell
calculated volume: 61.7 Å³/cell
electronic total energy: -12.9 eV/cell
space group: P4/mmm, No. 123

abc: 3.900 3.900 4.058
angles: 90.00 90.00 90.00
Sites, in units of the cell vectors:
Cu1 0.500 0.000 0.000
Zn1 0.000 0.000 0.500
Cu2 0.000 0.500 0.000
Cd1 0.500 0.500 0.500
H1 0.000 0.000 0.000

=====

[7]
This record from the Alexandria database describes crystalline ZnCd2CuH at its relaxed geometry. The functional is PBE.

DOS(E_F): 0.989 states/eV/cell
calculated volume: 77.6 Å³/cell
electronic total energy: -9.0 eV/cell
space group: P4/mmm, No. 123

abc: 4.804 3.364 4.804
angles: 90.00 90.00 90.00
Sites, in units of the cell vectors:
Cu1 0.500 0.500 0.500
Cd1 0.500 0.000 0.000
Zn1 0.000 0.500 0.000
Cd2 0.000 0.000 0.500
H1 0.000 0.000 0.000

=====

[8]
This record from the Alexandria database describes crystalline HfCdCu at its relaxed geometry. The functional is PBE.

DOS(E_F): 1.483 states/eV/cell
calculated volume: 54.0 Å³/cell
energy relative to the elements: 0.02 eV per atom
electronic total energy: -14.9 eV/cell
space group: P-6m2, No. 187

abc: 2.901 4.637 4.637
angles: 120.00 90.00 90.00
Sites, in units of the cell vectors:
Hf1 0.667 0.667 0.333
Cu1 0.167 0.333 0.667
Cd1 0.167 0.000 0.000

=====

[9]
This record from the Alexandria database describes crystalline HfCdCu at its relaxed geometry. The functional is PBE.

DOS(E_F): 2.778 states/eV/cell
calculated volume: 54.8 Å³/cell
energy relative to the elements: -0.01 eV per atom
electronic total energy: -15.0 eV/cell
space group: I4mm, No. 107

abc: 3.058 3.058 6.247
angles: 104.17 104.17 90.00
Sites, in units of the cell vectors:
Hf1 0.018 0.018 0.035
Cd1 0.318 0.318 0.637
Cu1 0.664 0.664 0.328

=====

[10]
This record from the Alexandria database describes crystalline HfCd3Cu at its relaxed geometry. The functional is PBE.

DOS(E_F): 5.545 states/eV/cell
calculated volume: 177.0 Å³/cell
energy relative to the elements: 1.25 eV per atom
electronic total energy: -10.5 eV/cell
space group: Pm-3m, No. 221
energy relative to the lowest polymorph listed for this composition: 70.4 kJ/mol of atoms

abc: 5.614 5.614 5.614
angles: 90.00 90.00 90.00
Sites, in units of the cell vectors:
Cd1 0.500 0.000 0.000
Cu1 0.500 0.500 0.500
Cd2 0.000 0.000 0.500
Hf1 0.000 0.000 0.000
Cd3 0.000 0.500 0.000

=====

[11]
This record from the Alexandria database describes crystalline Hf4CdCu at its relaxed geometry. The functional is PBE.

DOS(E_F): 4.264 states/eV/cell
calculated volume: 122.4 Å³/cell
energy relative to the elements: -0.12 eV per atom
electronic total energy: -45.6 eV/cell
space group: P4/mmm, No. 123

abc: 3.164 3.164 12.232
angles: 90.00 90.00 90.00
Sites, in units of the cell vectors:
Hf1 0.000 0.000 0.643
Hf2 0.500 0.500 0.816
Hf3 0.000 0.000 0.357
Cd1 0.000 0.000 0.000
Cu1 0.500 0.500 0.500
Hf4 0.500 0.500 0.184

=====

[12]
This record from the Alexandria database describes crystalline HfCdCu at its relaxed geometry. The functional is PBE.

DOS(E_F): 4.274 states/eV/cell
calculated volume: 119.6 Å³/cell
energy relative to the elements: 0.14 eV per atom
electronic total energy: -29.1 eV/cell
space group: Cm, No. 8

abc: 4.305 4.306 7.851
angles: 74.17 90.00 60.00
Sites, in units of the cell vectors:
Cd1 0.764 0.572 0.984
Hf1 0.626 0.848 0.567
Cu1 0.899 0.302 0.387
Cu2 0.230 0.639 0.382
Hf2 0.501 0.096 0.197
Cd2 0.038 0.024 0.804

=====

[13]
This record from the Alexandria database describes crystalline HfCdCu2 at its relaxed geometry. The functional is PBE.

DOS(E_F): 7.290 states/eV/cell
calculated volume: 148.0 Å³/cell
energy relative to the elements: 0.41 eV per atom
electronic total energy: -34.9 eV/cell
space group: I-42d, No. 122

abc: 7.129 7.129 5.822
angles: 52.25 52.25 90.00
Sites, in units of the cell vectors:
Cu1 0.126 0.625 0.250
Cu2 0.375 0.376 0.750
Cu3 0.624 0.125 0.250
Cu4 0.875 0.874 0.750
Hf1 0.750 0.250 0.500
Cd1 0.250 0.750 0.500
Cd2 0.500 0.500 0.000
Hf2 0.000 0.000 0.000

=====

[14]
This record from the Alexandria database describes crystalline Hf3CdCu at its relaxed geometry. The functional is PBE.

DOS(E_F): 6.152 states/eV/cell
calculated volume: 115.2 Å³/cell
energy relative to the elements: 0.47 eV per atom
electronic total energy: -32.5 eV/cell
space group: Pm-3m, No. 221
energy relative to the lowest polymorph listed for this composition: 0.0 kJ/mol of atoms

abc: 4.866 4.866 4.866
angles: 90.00 90.00 90.00
Sites, in units of the cell vectors:
Hf1 0.500 0.000 0.000
Hf2 0.000 0.000 0.500
Hf3 0.000 0.500 0.000
Cd1 0.500 0.500 0.500
Cu1 0.000 0.000 0.000

=====

[15]
This record from the Alexandria database describes crystalline Hf2Cd2Cu at its relaxed geometry. The functional is PBE.

DOS(E_F): 8.049 states/eV/cell
calculated volume: 203.9 Å³/cell
energy relative to the elements: 0.22 eV per atom
electronic total energy: -49.4 eV/cell
space group: P4/mbm, No. 127

abc: 6.779 6.779 4.437
angles: 90.00 90.00 90.00
Sites, in units of the cell vectors:
Cu1 0.500 0.500 0.000
Hf1 0.335 0.165 0.500
Hf2 0.165 0.665 0.500
Cd1 0.643 0.143 0.000
Hf3 0.665 0.835 0.500
Cd2 0.857 0.643 0.000
Cd3 0.143 0.357 0.000
Cd4 0.357 0.857 0.000
Hf4 0.835 0.335 0.500
Cu2 0.000 0.000 0.000

=====

[16]
This record from the Alexandria database describes crystalline HfCdCu at its relaxed geometry. The functional is PBE.

DOS(E_F): 6.831 states/eV/cell
calculated volume: 260.2 Å³/cell
energy relative to the elements: 0.25 eV per atom
electronic total energy: -56.8 eV/cell
space group: Fddd, No. 70

abc: 6.643 6.643 8.087
angles: 121.37 121.37 74.49
Sites, in units of the cell vectors:
Cu1 0.811 0.811 0.000
Cd1 0.625 0.375 0.750
Hf1 0.115 0.615 0.231
Hf2 0.385 0.885 0.769
Hf3 0.865 0.865 0.731
Cu2 0.061 0.561 0.500
Cu3 0.439 0.939 0.500
Cd2 0.625 0.875 0.250
Cd3 0.125 0.375 0.750
Hf4 0.135 0.135 0.269
Cd4 0.625 0.375 0.250
Cu4 0.189 0.189 0.000

=====

[17]
This record from the Alexandria database describes crystalline HfCdCu2 at its relaxed geometry. The functional is PBE.

DOS(E_F): 2.482 states/eV/cell
calculated volume: 67.2 Å³/cell
energy relative to the elements: -0.05 eV per atom
electronic total energy: -19.2 eV/cell
space group: P4/mmm, No. 123

abc: 3.205 3.205 6.540
angles: 90.00 90.00 90.00
Sites, in units of the cell vectors:
Hf1 0.500 0.500 0.500
Cd1 0.500 0.500 0.000
Cu1 0.000 0.000 0.741
Cu2 0.000 0.000 0.259

=====

[18]
This record from the Alexandria database describes crystalline HfCd3Cu at its relaxed geometry. The functional is PBE.

DOS(E_F): 2.425 states/eV/cell
calculated volume: 111.6 Å³/cell
energy relative to the elements: 0.52 eV per atom
electronic total energy: -14.2 eV/cell
space group: Pm-3m, No. 221
energy relative to the lowest polymorph listed for this composition: 0.0 kJ/mol of atoms

abc: 4.814 4.814 4.814
angles: 90.00 90.00 90.00
Sites, in units of the cell vectors:
Cd1 0.500 0.000 0.000
Hf1 0.500 0.500 0.500
Cd2 0.000 0.000 0.500
Cd3 0.000 0.500 0.000
Cu1 0.000 0.000 0.000

=====

[19]
This record from the Alexandria database describes crystalline HfCd2CuHg at its relaxed geometry. The functional is PBE.

DOS(E_F): 4.021 states/eV/cell
calculated volume: 145.9 Å³/cell
energy relative to the elements: 1.02 eV per atom
electronic total energy: -11.1 eV/cell
space group: P4/mmm, No. 123

abc: 5.197 5.403 5.197
angles: 90.00 90.00 90.00
Sites, in units of the cell vectors:
Cu1 0.500 0.500 0.500
Hf1 0.000 0.500 0.000
Cd1 0.500 0.000 0.000
Hg1 0.000 0.000 0.000
Cd2 0.000 0.000 0.500

=====

[20]
This record from the Alexandria database describes crystalline HfCdIn2Cu at its relaxed geometry. The functional is PBE.

DOS(E_F): 2.922 states/eV/cell
calculated volume: 120.1 Å³/cell
energy relative to the elements: 0.34 eV per atom
electronic total energy: -18.7 eV/cell
space group: P4/mmm, No. 123
energy relative to the lowest polymorph listed for this composition: 0.0 kJ/mol of atoms

abc: 4.878 5.049 4.878
angles: 90.00 90.00 90.00
Sites, in units of the cell vectors:
Cd1 0.500 0.500 0.500
Cu1 0.000 0.000 0.000
In1 0.500 0.000 0.000
In2 0.000 0.000 0.500
Hf1 0.000 0.500 0.000

=====

[21]
This record from the Alexandria database describes crystalline HfCdIn2Cu at its relaxed geometry. The functional is PBE.

DOS(E_F): 4.314 states/eV/cell
calculated volume: 158.7 Å³/cell
energy relative to the elements: 0.83 eV per atom
electronic total energy: -16.3 eV/cell
space group: P4/mmm, No. 123
energy relative to the lowest polymorph listed for this composition: 47.4 kJ/mol of atoms

abc: 5.693 4.898 5.693
angles: 90.00 90.00 90.00
Sites, in units of the cell vectors:
Cu1 0.000 0.500 0.000
In1 0.500 0.000 0.000
In2 0.000 0.000 0.500
Cd1 0.500 0.500 0.500
Hf1 0.000 0.000 0.000

=====

[22]
This record from the Alexandria database describes crystalline LiHfCdCu at its relaxed geometry. The functional is PBE.

DOS(E_F): 0.678 states/eV/cell
calculated volume: 65.1 Å³/cell
energy relative to the elements: -0.05 eV per atom
electronic total energy: -17.1 eV/cell
space group: F-43m, No. 216

abc: 4.514 4.514 4.514
angles: 60.00 60.00 60.00
Sites, in units of the cell vectors:
Cd1 0.500 0.500 0.500
Cu1 0.750 0.750 0.750
Hf1 0.000 0.000 0.000
Li1 0.250 0.250 0.250

=====

[23]
This record from the Alexandria database describes crystalline HfMnCd2Cu at its relaxed geometry. The functional is PBE.

DOS(E_F): 5.638 states/eV/cell
calculated volume: 105.2 Å³/cell
energy relative to the elements: 0.69 eV per atom
electronic total energy: -21.6 eV/cell
space group: P4/mmm, No. 123

abc: 4.756 4.650 4.756
angles: 90.00 90.00 90.00
Sites, in units of the cell vectors:
Cu1 0.000 0.000 0.000
Cd1 0.000 0.000 0.500
Hf1 0.500 0.500 0.500
Mn1 0.000 0.500 0.000
Cd2 0.500 0.000 0.000

=====

[24]
This record from the Alexandria database describes crystalline HfCd2CuO at its relaxed geometry. The functional is PBE.

DOS(E_F): 2.034 states/eV/cell
calculated volume: 130.9 Å³/cell
electronic total energy: -21.7 eV/cell
space group: P4/mmm, No. 123

abc: 5.796 3.896 5.796
angles: 90.00 90.00 90.00
Sites, in units of the cell vectors:
Cd1 0.000 0.000 0.500
O1 0.000 0.500 0.000
Cu1 0.500 0.500 0.500
Hf1 0.000 0.000 0.000
Cd2 0.500 0.000 0.000

=====

[25]
This record from the Alexandria database describes crystalline HfCd2CuPd at its relaxed geometry. The functional is PBE.

DOS(E_F): 4.572 states/eV/cell
calculated volume: 104.8 Å³/cell
energy relative to the elements: 0.49 eV per atom
electronic total energy: -18.6 eV/cell
space group: P4/mmm, No. 123

abc: 4.698 4.749 4.698
angles: 90.00 90.00 90.00
Sites, in units of the cell vectors:
Hf1 0.500 0.500 0.500
Pd1 0.000 0.500 0.000
Cu1 0.000 0.000 0.000
Cd1 0.000 0.000 0.500
Cd2 0.500 0.000 0.000

=====

[26]
This record from the Alexandria database describes crystalline Hf2CdCuRe at its relaxed geometry. The functional is PBE.

DOS(E_F): 4.984 states/eV/cell
calculated volume: 114.0 Å³/cell
energy relative to the elements: 1.70 eV per atom
electronic total energy: -28.9 eV/cell
space group: P4/mmm, No. 123

abc: 5.106 4.373 5.106
angles: 90.00 90.00 90.00
Sites, in units of the cell vectors:
Cu1 0.000 0.500 0.000
Re1 0.500 0.500 0.500
Hf1 0.500 0.000 0.000
Hf2 0.000 0.000 0.500
Cd1 0.000 0.000 0.000

=====

[27]
This record from the Alexandria database describes crystalline HfCd2CuS at its relaxed geometry. The functional is PBE.

DOS(E_F): 3.173 states/eV/cell
calculated volume: 110.6 Å³/cell
electronic total energy: -17.5 eV/cell
space group: P4/mmm, No. 123

abc: 5.136 4.194 5.136
angles: 90.00 90.00 90.00
Sites, in units of the cell vectors:
Hf1 0.500 0.500 0.500
S1 0.000 0.500 0.000
Cu1 0.000 0.000 0.000
Cd1 0.500 0.000 0.000
Cd2 0.000 0.000 0.500

=====

[28]
This record from the Alexandria database describes crystalline HfCdCuSb2 at its relaxed geometry. The functional is PBE.

DOS(E_F): 3.722 states/eV/cell
calculated volume: 120.9 Å³/cell
electronic total energy: -20.6 eV/cell
space group: P4/mmm, No. 123

abc: 5.072 4.698 5.072
angles: 90.00 90.00 90.00
Sites, in units of the cell vectors:
Hf1 0.500 0.500 0.500
Cu1 0.000 0.000 0.000
Sb1 0.000 0.000 0.500
Cd1 0.000 0.500 0.000
Sb2 0.500 0.000 0.000